1.
A geometry-optimized Na3CePd3O8 structure, computed with PBE-GGA.

The value obtained for the size of the total moment is 1.02 μB/cell. For the raw formation energy, the calculation gives -1.243 eV per atom. The crystal system is monoclinic. For the final energy, the calculation gives -83.78 eV per cell.

a b c (Å): 6.6577 6.6577 6.4137
angles (deg): 114.56 114.56 56.39
Positions (direct):
Na 0.0000 0.0000 0.0000
Na 0.0000 0.5000 0.0000
Na 0.5000 0.0000 0.0000
Ce 0.0000 0.0000 0.5000
Pd 0.0000 0.5000 0.5000
Pd 0.5000 0.0000 0.5000
Pd 0.5000 0.5000 0.5000
O 0.2210 0.2210 0.2676
O 0.2209 0.2209 0.7118
O 0.2245 0.6795 0.6722
O 0.3205 0.7755 0.3278
O 0.6795 0.2245 0.6722
O 0.7755 0.3205 0.3278
O 0.7791 0.7791 0.2882
O 0.7790 0.7790 0.7324

=====

2.
A geometry-optimized Na2CePmO4 structure, computed with PBE-GGA.

The value obtained for the size of the total moment is 1.01 μB/cell. For the raw formation energy, the calculation gives -2.616 eV per atom. The crystal system is monoclinic. For the final energy, the calculation gives -54.08 eV per cell.

a b c (Å): 5.9990 3.5728 6.1852
angles (deg): 90.00 110.08 90.00
Positions (direct):
Na 0.0000 0.0000 0.0000
Na 0.0000 0.5000 0.5000
Ce 0.5000 0.0000 0.5000
Pm 0.5000 0.5000 0.0000
O 0.2833 0.5000 0.2608
O 0.2841 0.0000 0.7615
O 0.7159 0.0000 0.2385
O 0.7167 0.5000 0.7392

=====

3.
A geometry-optimized Na3Ce3PtO8 structure, computed with PBE-GGA.

The value obtained for the size of the total moment is 0.91 μB/cell. For the raw formation energy, the calculation gives -2.268 eV per atom. The crystal system is monoclinic. For the final energy, the calculation gives -101.49 eV per cell.

a b c (Å): 6.8128 6.8128 6.9979
angles (deg): 119.80 119.80 63.91
Positions (direct):
Na 0.0000 0.0000 0.0000
Na 0.0000 0.5000 0.5000
Na 0.5000 0.0000 0.5000
Ce 0.0000 0.5000 0.0000
Ce 0.5000 0.0000 0.0000
Ce 0.5000 0.5000 0.5000
Pt 0.0000 0.0000 0.5000
O 0.2202 0.2202 0.7603
O 0.2540 0.2540 0.2264
O 0.2692 0.6974 0.2487
O 0.3026 0.7308 0.7513
O 0.6974 0.2692 0.2487
O 0.7308 0.3026 0.7513
O 0.7460 0.7460 0.7736
O 0.7798 0.7798 0.2397

=====

4.
A geometry-optimized Na2CePtO6 structure, computed with PBE-GGA.

The value obtained for the size of the total moment is 0.46 μB/cell. For the raw formation energy, the calculation gives -1.607 eV per atom. The crystal system is monoclinic. For the final energy, the calculation gives -120.85 eV per cell.

a b c (Å): 5.6947 5.8004 9.8848
angles (deg): 90.00 124.74 90.00
Positions (direct):
Na 0.2410 0.0371 0.2504
Na 0.2410 0.4629 0.7504
Na 0.7590 0.5371 0.2496
Na 0.7590 0.9629 0.7496
Ce 0.5000 0.0000 0.0000
Ce 0.5000 0.5000 0.5000
Pt 0.0000 0.0000 0.5000
Pt 0.0000 0.5000 0.0000
O 0.1389 0.2225 0.9520
O 0.1389 0.2775 0.4520
O 0.2344 0.6920 0.9558
O 0.2344 0.8080 0.4558
O 0.3204 0.0257 0.7335
O 0.3204 0.4743 0.2335
O 0.6796 0.5257 0.7665
O 0.6796 0.9743 0.2665
O 0.7656 0.1920 0.5442
O 0.7656 0.3080 0.0442
O 0.8611 0.7225 0.5480
O 0.8611 0.7775 0.0480

=====

5.
A geometry-optimized NaCePuO6 structure, computed with PBE-GGA.

The value obtained for the size of the total moment is 2.00 μB/cell. For the raw formation energy, the calculation gives -2.533 eV per atom. The crystal system is trigonal. For the final energy, the calculation gives -148.26 eV per cell.

a b c (Å): 5.6007 5.6007 9.6526
angles (deg): 90.00 90.00 120.00
Positions (direct):
Na 0.3333 0.6667 0.2500
Na 0.6667 0.3333 0.7500
Ce 0.0000 0.0000 0.0000
Ce 0.0000 0.0000 0.5000
Pu 0.3333 0.6667 0.7500
Pu 0.6667 0.3333 0.2500
O 0.0480 0.3616 0.6311
O 0.0480 0.6863 0.8689
O 0.3137 0.3616 0.8689
O 0.3137 0.9520 0.6311
O 0.3616 0.0480 0.1311
O 0.3616 0.3137 0.3689
O 0.6384 0.6863 0.6311
O 0.6384 0.9520 0.8689
O 0.6863 0.0480 0.3689
O 0.6863 0.6384 0.1311
O 0.9520 0.3137 0.1311
O 0.9520 0.6384 0.3689

=====

6.
A geometry-optimized NaCePu2O8 structure, computed with PBE-GGA.

The value obtained for the size of the total moment is 5.00 μB/cell. For the raw formation energy, the calculation gives -2.665 eV per atom. The crystal system is tetragonal. For the final energy, the calculation gives -107.57 eV per cell.

a b c (Å): 6.4757 6.4757 6.4757
angles (deg): 131.13 131.13 71.61
Positions (direct):
Na 0.0000 0.0000 0.0000
Ce 0.2500 0.7500 0.5000
Pu 0.5000 0.5000 0.0000
Pu 0.7500 0.2500 0.5000
O 0.1289 0.1439 0.5276
O 0.1289 0.6013 0.9850
O 0.3987 0.3837 0.5276
O 0.3987 0.8711 0.0150
O 0.6163 0.1439 0.0150
O 0.6163 0.6013 0.4724
O 0.8561 0.3837 0.9850
O 0.8561 0.8711 0.4724

=====

7.
A geometry-optimized Na2CePuO4 structure, computed with PBE-GGA.

The value obtained for the size of the total moment is 6.00 μB/cell. For the raw formation energy, the calculation gives -2.502 eV per atom. The crystal system is monoclinic. For the final energy, the calculation gives -62.75 eV per cell.

a b c (Å): 5.9857 3.5449 6.1334
angles (deg): 90.00 109.95 90.00
Positions (direct):
Na 0.0000 0.0000 0.0000
Na 0.0000 0.5000 0.5000
Ce 0.5000 0.0000 0.5000
Pu 0.5000 0.5000 0.0000
O 0.2823 0.5000 0.2619
O 0.2848 0.0000 0.7618
O 0.7152 0.0000 0.2382
O 0.7177 0.5000 0.7382

=====

8.
A geometry-optimized Rb2Na2CeO4 structure, computed with PBE-GGA.

The value obtained for the size of the total moment is 0.00 μB/cell. For the raw formation energy, the calculation gives -1.993 eV per atom. The crystal system is monoclinic. For the final energy, the calculation gives -48.28 eV per cell.

a b c (Å): 6.8339 6.8339 9.2165
angles (deg): 127.83 127.83 31.70
Positions (direct):
Rb 0.1719 0.1719 0.2767
Rb 0.8281 0.8281 0.7233
Na 0.3525 0.3525 0.1222
Na 0.6475 0.6475 0.8778
Ce 0.0000 0.0000 0.5000
O 0.1971 0.1971 0.7871
O 0.4388 0.4388 0.5892
O 0.5612 0.5612 0.4108
O 0.8029 0.8029 0.2129

=====

9.
A geometry-optimized RbNaCeO3 structure, computed with PBE-GGA.

The value obtained for the size of the total moment is 0.00 μB/cell. For the raw formation energy, the calculation gives -2.374 eV per atom. The crystal system is monoclinic. For the final energy, the calculation gives -74.67 eV per cell.

a b c (Å): 6.9135 3.6713 9.3793
angles (deg): 90.00 104.77 90.00
Positions (direct):
Rb 0.1193 0.2500 0.1804
Rb 0.8807 0.7500 0.8196
Na 0.1757 0.7500 0.5399
Na 0.8243 0.2500 0.4601
Ce 0.3821 0.2500 0.8303
Ce 0.6179 0.7500 0.1697
O 0.0921 0.2500 0.6757
O 0.3199 0.7500 0.9814
O 0.4703 0.7500 0.7233
O 0.5297 0.2500 0.2767
O 0.6801 0.2500 0.0186
O 0.9079 0.7500 0.3243

=====

10.
A geometry-optimized Rb4NaCe3O8 structure, computed with PBE-GGA.

The value obtained for the size of the total moment is 1.08 μB/cell. For the raw formation energy, the calculation gives -2.445 eV per atom. The crystal system is trigonal. For the final energy, the calculation gives -101.78 eV per cell.

a b c (Å): 7.7516 7.7516 7.7516
angles (deg): 55.79 55.79 55.79
Positions (direct):
Rb 0.0000 0.0000 0.0000
Rb 0.0000 0.5000 0.5000
Rb 0.5000 0.0000 0.5000
Rb 0.5000 0.5000 0.0000
Na 0.5000 0.5000 0.5000
Ce 0.0000 0.0000 0.5000
Ce 0.0000 0.5000 0.0000
Ce 0.5000 0.0000 0.0000
O 0.1939 0.7409 0.7409
O 0.2281 0.2281 0.2281
O 0.2591 0.2591 0.8061
O 0.2591 0.8061 0.2591
O 0.7409 0.1939 0.7409
O 0.7409 0.7409 0.1939
O 0.7719 0.7719 0.7719
O 0.8061 0.2591 0.2591

=====

11.
A geometry-optimized NaCeRe2O8 structure, computed with PBE-GGA.

The value obtained for the size of the total moment is 2.98 μB/cell. For the raw formation energy, the calculation gives -1.981 eV per atom. The crystal system is tetragonal. For the final energy, the calculation gives -95.59 eV per cell.

a b c (Å): 6.9427 6.9427 6.9427
angles (deg): 134.61 134.61 66.14
Positions (direct):
Na 0.0000 0.0000 0.0000
Ce 0.2500 0.7500 0.5000
Re 0.5000 0.5000 0.0000
Re 0.7500 0.2500 0.5000
O 0.2701 0.6613 0.0980
O 0.3387 0.4367 0.6088
O 0.4276 0.0090 0.0904
O 0.5633 0.1721 0.9020
O 0.6628 0.5724 0.5814
O 0.8279 0.7299 0.3912
O 0.9186 0.3372 0.9096
O 0.9910 0.0814 0.4186

=====

12.
A geometry-optimized Na2CeReO6 structure, computed with PBE-GGA.

The value obtained for the size of the total moment is 0.22 μB/cell. For the raw formation energy, the calculation gives -2.145 eV per atom. The crystal system is tetragonal. For the final energy, the calculation gives -72.22 eV per cell.

a b c (Å): 5.8251 5.8251 4.4226
angles (deg): 90.00 90.00 90.00
Positions (direct):
Na 0.0000 0.5000 0.0000
Na 0.5000 0.0000 0.0000
Ce 0.0000 0.0000 0.6246
Re 0.5000 0.5000 0.5764
O 0.0000 0.0000 0.1389
O 0.2766 0.2766 0.6822
O 0.2766 0.7234 0.6822
O 0.5000 0.5000 0.1820
O 0.7234 0.2766 0.6822
O 0.7234 0.7234 0.6822

=====

13.
A geometry-optimized NaCe2ReO8 structure, computed with PBE-GGA.

The value obtained for the size of the total moment is 0.00 μB/cell. For the raw formation energy, the calculation gives -2.436 eV per atom. The crystal system is monoclinic. For the final energy, the calculation gives -94.53 eV per cell.

a b c (Å): 5.0039 7.0668 5.0069
angles (deg): 90.00 91.53 90.00
Positions (direct):
Na 0.0000 0.0000 0.0000
Ce 0.5000 0.2440 0.5000
Ce 0.5000 0.7560 0.5000
Re 0.0000 0.5000 0.0000
O 0.1834 0.3094 0.8185
O 0.1834 0.6906 0.8185
O 0.2797 0.5000 0.2810
O 0.3180 0.0000 0.3196
O 0.6820 0.0000 0.6804
O 0.7203 0.5000 0.7190
O 0.8166 0.3094 0.1815
O 0.8166 0.6906 0.1815

=====

14.
A geometry-optimized Na4CeRh3O8 structure, computed with PBE-GGA.

The value obtained for the size of the total moment is 0.50 μB/cell. For the raw formation energy, the calculation gives -1.483 eV per atom. The crystal system is trigonal. For the final energy, the calculation gives -96.66 eV per cell.

a b c (Å): 6.6449 6.6449 6.6449
angles (deg): 57.21 57.21 57.21
Positions (direct):
Na 0.0000 0.0000 0.0000
Na 0.0000 0.5000 0.5000
Na 0.5000 0.0000 0.5000
Na 0.5000 0.5000 0.0000
Ce 0.5000 0.5000 0.5000
Rh 0.0000 0.0000 0.5000
Rh 0.0000 0.5000 0.0000
Rh 0.5000 0.0000 0.0000
O 0.2230 0.7490 0.7490
O 0.2286 0.2286 0.2286
O 0.2510 0.2510 0.7770
O 0.2510 0.7770 0.2510
O 0.7490 0.2230 0.7490
O 0.7490 0.7490 0.2230
O 0.7714 0.7714 0.7714
O 0.7770 0.2510 0.2510

=====

15.
A geometry-optimized Na2CeRhO4 structure, computed with PBE-GGA.

The value obtained for the size of the total moment is 1.00 μB/cell. For the raw formation energy, the calculation gives -1.888 eV per atom. The crystal system is monoclinic. For the final energy, the calculation gives -50.86 eV per cell.

a b c (Å): 5.5040 3.3635 6.1291
angles (deg): 90.00 111.53 90.00
Positions (direct):
Na 0.0000 0.0000 0.0000
Na 0.5000 0.5000 0.0000
Ce 0.0000 0.5000 0.5000
Rh 0.5000 0.0000 0.5000
O 0.2173 0.0000 0.7404
O 0.2856 0.5000 0.2972
O 0.7144 0.5000 0.7028
O 0.7827 0.0000 0.2596

=====

16.
A geometry-optimized Na3Ce3RhO8 structure, computed with PBE-GGA.

The value obtained for the size of the total moment is 2.11 μB/cell. For the raw formation energy, the calculation gives -2.330 eV per atom. The crystal system is monoclinic. For the final energy, the calculation gives -103.73 eV per cell.

a b c (Å): 6.8161 6.8161 6.8798
angles (deg): 119.49 119.49 61.53
Positions (direct):
Na 0.0000 0.0000 0.0000
Na 0.0000 0.5000 0.5000
Na 0.5000 0.0000 0.5000
Ce 0.0000 0.5000 0.0000
Ce 0.5000 0.0000 0.0000
Ce 0.5000 0.5000 0.5000
Rh 0.0000 0.0000 0.5000
O 0.2214 0.2214 0.7485
O 0.2402 0.7308 0.2630
O 0.2582 0.2582 0.2357
O 0.2692 0.7598 0.7370
O 0.7308 0.2402 0.2630
O 0.7418 0.7418 0.7643
O 0.7598 0.2692 0.7370
O 0.7786 0.7786 0.2515

=====

17.
A geometry-optimized NaCeRhO4 structure, computed with PBE-GGA.

The value obtained for the size of the total moment is 0.00 μB/cell. For the raw formation energy, the calculation gives -2.033 eV per atom. The crystal system is orthorhombic. For the final energy, the calculation gives -97.33 eV per cell.

a b c (Å): 6.4744 6.4744 6.4744
angles (deg): 119.64 112.63 96.94
Positions (direct):
Na 0.3711 0.1211 0.2500
Na 0.6289 0.8789 0.7500
Ce 0.0000 0.5000 0.5000
Ce 0.5000 0.5000 0.0000
Rh 0.0000 0.0000 0.5000
Rh 0.0000 0.5000 0.0000
O 0.1766 0.2391 0.9375
O 0.1984 0.7609 0.4375
O 0.2428 0.2813 0.5385
O 0.2428 0.7044 0.9615
O 0.7572 0.2956 0.0385
O 0.7572 0.7187 0.4615
O 0.8016 0.2391 0.5625
O 0.8234 0.7609 0.0625

=====

18.
A geometry-optimized Na3CeRh3O8 structure, computed with PBE-GGA.

The value obtained for the size of the total moment is 0.00 μB/cell. For the raw formation energy, the calculation gives -1.467 eV per atom. The crystal system is trigonal. For the final energy, the calculation gives -93.62 eV per cell.

a b c (Å): 6.6582 6.6582 6.6582
angles (deg): 56.29 56.29 56.29
Positions (direct):
Na 0.0000 0.5000 0.5000
Na 0.5000 0.0000 0.5000
Na 0.5000 0.5000 0.0000
Ce 0.5000 0.5000 0.5000
Rh 0.0000 0.0000 0.5000
Rh 0.0000 0.5000 0.0000
Rh 0.5000 0.0000 0.0000
O 0.2151 0.7470 0.7470
O 0.2299 0.2299 0.2299
O 0.2530 0.2530 0.7849
O 0.2530 0.7849 0.2530
O 0.7470 0.2151 0.7470
O 0.7470 0.7470 0.2151
O 0.7701 0.7701 0.7701
O 0.7849 0.2530 0.2530

=====

19.
A geometry-optimized NaCeRu2O8 structure, computed with PBE-GGA.

The value obtained for the size of the total moment is 2.81 μB/cell. For the raw formation energy, the calculation gives -1.486 eV per atom. The crystal system is tetragonal. For the final energy, the calculation gives -83.31 eV per cell.

a b c (Å): 6.8920 6.8920 6.8920
angles (deg): 135.13 135.13 65.32
Positions (direct):
Na 0.0000 0.0000 0.0000
Ce 0.2500 0.7500 0.5000
Ru 0.5000 0.5000 0.0000
Ru 0.7500 0.2500 0.5000
O 0.2644 0.6584 0.0947
O 0.3416 0.4362 0.6059
O 0.4211 0.0068 0.0818
O 0.5638 0.1697 0.9053
O 0.6607 0.5789 0.5857
O 0.8303 0.7356 0.3941
O 0.9250 0.3393 0.9182
O 0.9932 0.0750 0.4143

=====

20.
A geometry-optimized Na2CeRuO6 structure, computed with PBE-GGA.

The value obtained for the size of the total moment is 0.08 μB/cell. For the raw formation energy, the calculation gives -1.780 eV per atom. The crystal system is tetragonal. For the final energy, the calculation gives -65.40 eV per cell.

a b c (Å): 5.7506 5.7506 4.4582
angles (deg): 90.00 90.00 90.00
Positions (direct):
Na 0.0000 0.5000 0.0000
Na 0.5000 0.0000 0.0000
Ce 0.0000 0.0000 0.6245
Ru 0.5000 0.5000 0.5631
O 0.0000 0.0000 0.1438
O 0.2751 0.2751 0.6861
O 0.2751 0.7249 0.6861
O 0.5000 0.5000 0.1791
O 0.7249 0.2751 0.6861
O 0.7249 0.7249 0.6861